# 1
{
  "formula": "CdPtCl2",
  "functional": "PBE",
  "state": "relaxed",
  "crystal_system": "monoclinic",
  "e_tot_ev_per_atom": -2.83,
  "e_form_raw_mev_per_atom": -167,
  "lattice": [[-4.8223, -0.4319, 5.5793], [-4.9656, -3.4016, 4.2827], [2.0964, -1.4909, 3.1829]],
  "species": ["Cl", "Cl", "Pt", "Cd"],
  "frac_coords": [[0.9864, 0.9864, 0.0147], [0.2269, 0.2269, 0.2726], [0.4748, 0.4748, 0.5261], [0.8119, 0.8119, 0.6866]]
}

=====

# 2
{
  "formula": "PmH8Rh4",
  "functional": "PBE",
  "state": "relaxed",
  "crystal_system": "trigonal",
  "e_tot_ev_per_atom": -4.86,
  "lattice": [[5.6948, -0.0366, -0.0261], [2.7131, 5.0071, -0.0261], [2.7131, 1.6039, 4.7434]],
  "species": ["Pm", "H", "H", "H", "H", "H", "H", "H", "H", "Rh", "Rh", "Rh", "Rh"],
  "frac_coords": [[0.0000, 0.0000, 0.0000], [0.6718, 0.2857, 0.2857], [0.2857, 0.2857, 0.6718], [0.2857, 0.6718, 0.2857], [0.2719, 0.2719, 0.2719], [0.7281, 0.7281, 0.7281], [0.7143, 0.7143, 0.3282], [0.7143, 0.3282, 0.7143], [0.3282, 0.7143, 0.7143], [0.5000, 0.5000, 0.5000], [0.5000, 0.5000, 0.0000], [0.0000, 0.5000, 0.5000], [0.5000, 0.0000, 0.5000]]
}

=====

# 3
{
  "formula": "TlCrCoHg2",
  "functional": "PBE",
  "state": "relaxed",
  "ef_ev_per_atom": 0.701,
  "crystal_system": "tetragonal",
  "e_tot_ev_per_atom": -3.24,
  "lattice": [[-1.4936, 0.2580, 4.7745], [-4.0783, -2.5861, -1.1361], [2.4298, -4.2671, 0.9907]],
  "species": ["Cr", "Tl", "Co", "Hg", "Hg"],
  "frac_coords": [[0.5000, 0.5000, 0.5000], [0.0000, 0.5000, 0.0000], [0.0000, 0.0000, 0.0000], [0.0000, 0.0000, 0.5000], [0.5000, 0.0000, 0.0000]]
}

=====

# 4
{
  "formula": "Li2NiMo",
  "functional": "PBE",
  "state": "relaxed",
  "ef_ev_per_atom": 0.223,
  "crystal_system": "orthorhombic",
  "e_tot_ev_per_atom": -4.89,
  "lattice": [[2.5434, 0.0316, 0.0000], [-0.8874, 2.3837, 0.0000], [0.0000, 0.0000, 8.9812]],
  "species": ["Li", "Li", "Mo", "Ni"],
  "frac_coords": [[0.0000, 0.0000, 0.9751], [0.0000, 0.0000, 0.5249], [0.5000, 0.5000, 0.2500], [0.5000, 0.5000, 0.7500]]
}

=====

# 5
{
  "formula": "SrSi2Pt",
  "functional": "PBE",
  "state": "relaxed",
  "crystal_system": "cubic",
  "e_tot_ev_per_atom": -4.68,
  "e_form_raw_mev_per_atom": -34,
  "lattice": [[0.0000, 3.3615, 3.3615], [3.3615, 0.0000, 3.3615], [3.3615, 3.3615, 0.0000]],
  "species": ["Sr", "Si", "Si", "Pt"],
  "frac_coords": [[0.0000, 0.0000, 0.0000], [0.2500, 0.2500, 0.2500], [0.7500, 0.7500, 0.7500], [0.5000, 0.5000, 0.5000]]
}

=====

# 6
{
  "formula": "YTl2Pb",
  "functional": "PBE",
  "state": "relaxed",
  "ef_ev_per_atom": -0.158,
  "crystal_system": "tetragonal",
  "e_tot_ev_per_atom": -3.88,
  "lattice": [[-1.2198, 3.3165, -1.9263], [-3.1720, 0.2640, 2.4631], [3.8382, 4.0316, 4.5107]],
  "species": ["Pb", "Tl", "Tl", "Y"],
  "frac_coords": [[0.5000, 0.5000, 0.7504], [0.0000, 0.0000, 0.0021], [0.5000, 0.5000, 0.2522], [0.0000, 0.0000, 0.4954]]
}

=====

# 7
{
  "formula": "LiCeHgPb",
  "functional": "PBE",
  "state": "relaxed",
  "ef_ev_per_atom": -0.386,
  "crystal_system": "cubic",
  "e_tot_ev_per_atom": -3.35,
  "lattice": [[-4.4613, -0.9815, -2.6117], [-0.4071, -4.3150, -2.9837], [-3.1173, -3.9601, 1.5125]],
  "species": ["Pb", "Hg", "Ce", "Li"],
  "frac_coords": [[0.0000, 0.0000, 0.0000], [0.5000, 0.5000, 0.5000], [0.2500, 0.2500, 0.2500], [0.7500, 0.7500, 0.7500]]
}

=====

# 8
{
  "formula": "AcPmPu2P4",
  "functional": "PBE",
  "state": "relaxed",
  "ef_ev_per_atom": -1.289,
  "crystal_system": "monoclinic",
  "e_tot_ev_per_atom": -8.68,
  "lattice": [[4.1467, 0.0000, 0.0000], [0.0000, 7.1457, -0.1287], [0.0000, 2.5268, 6.7367]],
  "species": ["Ac", "Pm", "Pu", "Pu", "P", "P", "P", "P"],
  "frac_coords": [[0.5000, 0.5000, 0.0000], [0.0000, 0.5000, 0.5000], [0.0000, 0.0000, 0.0000], [0.5000, 0.0000, 0.5000], [0.0000, 0.7759, 0.7322], [0.0000, 0.2241, 0.2678], [0.5000, 0.7693, 0.2521], [0.5000, 0.2307, 0.7479]]
}

=====

# 9
{
  "formula": "K2NbVN4",
  "functional": "PBE",
  "state": "relaxed",
  "crystal_system": "orthorhombic",
  "e_tot_ev_per_atom": -7.53,
  "e_form_raw_mev_per_atom": -692,
  "lattice": [[6.0770, 0.0000, 0.0000], [0.0000, 6.9013, 0.0000], [0.0000, 0.0000, 6.5937]],
  "species": ["K", "K", "K", "K", "Nb", "Nb", "V", "V", "N", "N", "N", "N", "N", "N", "N", "N"],
  "frac_coords": [[0.5000, 0.2948, 0.2494], [0.5000, 0.2948, 0.7506], [0.0000, 0.7052, 0.7494], [0.0000, 0.7052, 0.2506], [0.0000, 0.1551, 0.5000], [0.5000, 0.8449, 0.0000], [0.5000, 0.8369, 0.5000], [0.0000, 0.1631, 0.0000], [0.2405, 0.0092, 0.0000], [0.7405, 0.9908, 0.5000], [0.2597, 0.9911, 0.5000], [0.7597, 0.0089, 0.0000], [0.4999, 0.6981, 0.7400], [0.9999, 0.3019, 0.2400], [0.9999, 0.3019, 0.7600], [0.4999, 0.6981, 0.2600]]
}

=====

# 10
{
  "formula": "SrHg2Os2",
  "functional": "PBE",
  "state": "relaxed",
  "ef_ev_per_atom": 0.707,
  "crystal_system": "tetragonal",
  "e_tot_ev_per_atom": -4.24,
  "lattice": [[-8.0464, -1.3848, -1.9682], [-0.0947, -6.6812, 5.0880], [-0.8473, 1.7253, 2.2498]],
  "species": ["Sr", "Sr", "Os", "Os", "Os", "Os", "Hg", "Hg", "Hg", "Hg"],
  "frac_coords": [[0.0000, 0.0000, 0.0000], [0.5000, 0.5000, 0.0000], [0.1017, 0.6017, 0.5000], [0.6017, 0.8983, 0.5000], [0.8983, 0.3983, 0.5000], [0.3983, 0.1017, 0.5000], [0.3127, 0.8127, 0.0000], [0.8127, 0.6873, 0.0000], [0.6873, 0.1873, 0.0000], [0.1873, 0.3127, 0.0000]]
}

=====

# 11
{
  "formula": "LaTi2CrTc",
  "functional": "PBE",
  "state": "relaxed",
  "ef_ev_per_atom": 0.931,
  "crystal_system": "tetragonal",
  "e_tot_ev_per_atom": -7.21,
  "lattice": [[-3.2483, 0.0474, 3.0532], [2.6706, -3.3251, 2.8928], [1.9966, 3.4057, 2.0714]],
  "species": ["Cr", "Ti", "Ti", "Tc", "La"],
  "frac_coords": [[0.0000, 0.0000, 0.0000], [0.0000, 0.0000, 0.5000], [0.5000, 0.0000, 0.0000], [0.5000, 0.5000, 0.5000], [0.0000, 0.5000, 0.0000]]
}

=====

# 12
{
  "formula": "Be2CoBRu",
  "functional": "PBE",
  "state": "relaxed",
  "ef_ev_per_atom": -0.330,
  "crystal_system": "orthorhombic",
  "e_tot_ev_per_atom": -6.43,
  "lattice": [[-0.5741, 0.4675, -2.7058], [-0.4981, -3.2338, -0.4530], [-4.1556, 1.9525, 2.6732]],
  "species": ["Be", "Be", "Co", "B", "Ru"],
  "frac_coords": [[0.7203, 0.2203, 0.4406], [0.0411, 0.0411, 0.0823], [0.1872, 0.6872, 0.3744], [0.8391, 0.8391, 0.6781], [0.4244, 0.4244, 0.8489]]
}

=====

# 13
{
  "formula": "PmYB",
  "functional": "PBE",
  "state": "relaxed",
  "ef_ev_per_atom": -0.076,
  "crystal_system": "triclinic",
  "e_tot_ev_per_atom": -6.04,
  "lattice": [[3.6663, -0.0743, -0.4363], [1.9048, 6.2321, -0.6471], [-1.1185, -0.3729, 6.2579]],
  "species": ["B", "B", "Y", "Y", "Pm", "Pm"],
  "frac_coords": [[0.8868, 0.0403, 0.0064], [0.7268, 0.0999, 0.7469], [0.6095, 0.8731, 0.2848], [0.3784, 0.8019, 0.7516], [0.2240, 0.3641, 0.0045], [0.9928, 0.2966, 0.4778]]
}